The following is a GGA+U calculation of crystalline CaAcMo2O8 at its relaxed geometry, from the Alexandria database.

Calculated values
- total DFT energy (no corrections) (Ha/atom) = -0.270
- V (Å³ per atom) = 14.64

a = 7.0421 Å, b = 7.0421 Å, c = 7.0421 Å
α = 134.36°, β = 134.36°, γ = 66.52°
Last column: nearest neighbours and their distance in Å.
Sites, in units of the cell vectors:
Ca: 0.0000 0.0000 0.0000  8 O 2.49-2.54
Ac: 0.7500 0.2500 0.5000  8 O 2.57-2.61
Mo: 0.2500 0.7500 0.5000  4 O 1.81
Mo: 0.5000 0.5000 0.0000  4 O 1.88
O: 0.0262 0.9070 0.5994  1 Mo 1.81
O: 0.0930 0.6925 0.1192  1 Mo 1.81
O: 0.1689 0.2590 0.5896  1 Mo 1.88
O: 0.3075 0.4268 0.4006  1 Mo 1.81
O: 0.4207 0.8311 0.0901  1 Mo 1.88
O: 0.5732 0.9738 0.8808  1 Mo 1.81
O: 0.6695 0.5793 0.4104  1 Mo 1.88
O: 0.7410 0.3305 0.9099  1 Mo 1.88